Below is a relaxed RbBeTeN2 crystal, with properties calculated at the PBE level.

```
5
Lattice="4.538 0.000 0.000 0.000 4.538 0.000 0.000 0.000 4.945" Properties=species:S:1:pos:R:3 pbc="T T T"
Rb 0.000 0.000 0.000
Be 2.269 2.269 2.472
Te 2.269 2.269 0.000
N 0.000 2.269 2.472
N 2.269 0.000 2.472
```

Results
V = 20.36 Å³/atom
energy above the most stable polymorph in this dataset = 0 meV/atom
space group = P4/mmm (123)
ΔE_f (raw) = 1407 meV/atom



Below is a relaxed RbBeTeN2 crystal, with properties calculated at the PBE level.

```
5
Lattice="5.020 0.000 0.000 0.000 5.020 0.000 0.000 0.000 7.453" Properties=species:S:1:pos:R:3 pbc="T T T"
Rb 0.000 0.000 0.000
Be 2.510 2.510 3.727
Te 0.000 0.000 3.727
N 0.000 2.510 0.000
N 2.510 0.000 0.000
```

Results
V = 37.57 Å³/atom
energy above the most stable polymorph in this dataset = 1107 meV/atom
space group = P4/mmm (123)
ΔE_f (raw) = 2514 meV/atom



Below is a relaxed RbZr2BeN crystal, with properties calculated at the PBE level.

```
5
Lattice="5.119 0.000 0.000 0.000 5.119 0.000 0.000 0.000 4.229" Properties=species:S:1:pos:R:3 pbc="T T T"
Rb 0.000 0.000 0.000
Zr 0.000 2.559 0.000
Zr 2.559 0.000 0.000
Be 2.559 2.559 2.114
N 0.000 0.000 2.114
```

Results
V = 22.16 Å³/atom
space group = P4/mmm (123)
ΔE_f (raw) = 2675 meV/atom



Repeat the first record exactly.
Below is a relaxed RbBeTeN2 crystal, with properties calculated at the PBE level.

```
5
Lattice="4.538 0.000 0.000 0.000 4.538 0.000 0.000 0.000 4.945" Properties=species:S:1:pos:R:3 pbc="T T T"
Rb 0.000 0.000 0.000
Be 2.269 2.269 2.472
Te 2.269 2.269 0.000
N 0.000 2.269 2.472
N 2.269 0.000 2.472
```

Results
V = 20.36 Å³/atom
energy above the most stable polymorph in this dataset = 0 meV/atom
space group = P4/mmm (123)
ΔE_f (raw) = 1407 meV/atom